<w>
# Cu2Re2Cl | Alexandria | PBE-GGA | optimized geometry
# volume = 17.9 Å³ per atom
# crystal system = tetragonal
# space-group type = I4/mmm, No. 139
data_Cu2Re2Cl
_cell_length_a 3.515
_cell_length_b 3.515
_cell_length_c 7.649
_cell_angle_alpha 76.72
_cell_angle_beta 76.72
_cell_angle_gamma 90.00
_space_group_name_H-M_alt 'P 1'
_space_group_IT_number 1
_space_group_name_Hall 'P 1'
loop_
_atom_site_label
_atom_site_type_symbol
_atom_site_fract_x
_atom_site_fract_y
_atom_site_fract_z
Re1 Re 0.250 0.750 0.500
Re2 Re 0.750 0.250 0.500
Cu1 Cu 0.610 0.610 0.780
Cu2 Cu 0.390 0.390 0.220
Cl1 Cl 0.000 0.000 0.000

---

<x>
# Cu2Re2Cl | Alexandria | PBE-GGA | optimized geometry
# volume = 16.5 Å³ per atom
# crystal system = tetragonal
# space-group type = P4/mbm, No. 127
data_Cu2Re2Cl
_cell_length_a 8.087
_cell_length_b 8.087
_cell_length_c 2.517
_cell_angle_alpha 90.00
_cell_angle_beta 90.00
_cell_angle_gamma 90.00
_space_group_name_H-M_alt 'P 1'
_space_group_IT_number 1
_space_group_name_Hall 'P 1'
loop_
_atom_site_label
_atom_site_type_symbol
_atom_site_fract_x
_atom_site_fract_y
_atom_site_fract_z
Re1 Re 0.607 0.893 0.500
Re2 Re 0.107 0.607 0.500
Re3 Re 0.393 0.107 0.500
Re4 Re 0.893 0.393 0.500
Cu1 Cu 0.317 0.817 0.000
Cu2 Cu 0.683 0.183 0.000
Cu3 Cu 0.183 0.317 0.000
Cu4 Cu 0.817 0.683 0.000
Cl1 Cl 0.000 0.000 0.000
Cl2 Cl 0.500 0.500 0.000

---

From most stable to least stable, the computed energies give <w>, <x>.

---

<w>
# CuReCl3 | Alexandria | PBE-GGA | optimized geometry
# volume = 21.9 Å³ per atom
# crystal system = cubic
# space-group type = Pm-3m, No. 221
data_CuReCl3
_cell_length_a 4.783
_cell_length_b 4.783
_cell_length_c 4.783
_cell_angle_alpha 90.00
_cell_angle_beta 90.00
_cell_angle_gamma 90.00
_space_group_name_H-M_alt 'P 1'
_space_group_IT_number 1
_space_group_name_Hall 'P 1'
loop_
_atom_site_label
_atom_site_type_symbol
_atom_site_fract_x
_atom_site_fract_y
_atom_site_fract_z
Cl1 Cl 0.000 0.000 0.500
Cl2 Cl 0.500 0.000 0.000
Cl3 Cl 0.000 0.500 0.000
Cu1 Cu 0.000 0.000 0.000
Re1 Re 0.500 0.500 0.500

---

<x>
# CuReCl3 | Alexandria | PBE-GGA | optimized geometry
# volume = 22.3 Å³ per atom
# crystal system = cubic
# space-group type = Pm-3m, No. 221
data_CuReCl3
_cell_length_a 4.814
_cell_length_b 4.814
_cell_length_c 4.814
_cell_angle_alpha 90.00
_cell_angle_beta 90.00
_cell_angle_gamma 90.00
_space_group_name_H-M_alt 'P 1'
_space_group_IT_number 1
_space_group_name_Hall 'P 1'
loop_
_atom_site_label
_atom_site_type_symbol
_atom_site_fract_x
_atom_site_fract_y
_atom_site_fract_z
Re1 Re 0.000 0.000 0.000
Cu1 Cu 0.500 0.500 0.500
Cl1 Cl 0.500 0.000 0.000
Cl2 Cl 0.000 0.500 0.000
Cl3 Cl 0.000 0.000 0.500

---

From most stable to least stable, the computed energies give <x>, <w>.

---

<w>
# CuReSCl2 | Alexandria | PBE-GGA | optimized geometry
# volume = 21.8 Å³ per atom
# crystal system = tetragonal
# space-group type = P4/mmm, No. 123
data_CuReSCl2
_cell_length_a 4.939
_cell_length_b 4.939
_cell_length_c 4.459
_cell_angle_alpha 90.00
_cell_angle_beta 90.00
_cell_angle_gamma 90.00
_space_group_name_H-M_alt 'P 1'
_space_group_IT_number 1
_space_group_name_Hall 'P 1'
loop_
_atom_site_label
_atom_site_type_symbol
_atom_site_fract_x
_atom_site_fract_y
_atom_site_fract_z
Cl1 Cl 0.000 0.500 0.000
Cl2 Cl 0.500 0.000 0.000
Re1 Re 0.000 0.000 0.000
Cu1 Cu 0.500 0.500 0.500
S1 S 0.000 0.000 0.500

---

<x>
# CuReSCl2 | Alexandria | PBE-GGA | optimized geometry
# volume = 20.4 Å³ per atom
# crystal system = tetragonal
# space-group type = P4/mmm, No. 123
data_CuReSCl2
_cell_length_a 4.489
_cell_length_b 4.489
_cell_length_c 5.060
_cell_angle_alpha 90.00
_cell_angle_beta 90.00
_cell_angle_gamma 90.00
_space_group_name_H-M_alt 'P 1'
_space_group_IT_number 1
_space_group_name_Hall 'P 1'
loop_
_atom_site_label
_atom_site_type_symbol
_atom_site_fract_x
_atom_site_fract_y
_atom_site_fract_z
Re1 Re 0.500 0.500 0.500
S1 S 0.000 0.000 0.500
Cu1 Cu 0.000 0.000 0.000
Cl1 Cl 0.500 0.000 0.000
Cl2 Cl 0.000 0.500 0.000

---

From most stable to least stable, the computed energies give <w>, <x>.

---

<w>
# CuReS2Cl | Alexandria | PBE-GGA | optimized geometry
# volume = 21.2 Å³ per atom
# crystal system = tetragonal
# space-group type = P4/mmm, No. 123
data_CuReS2Cl
_cell_length_a 4.527
_cell_length_b 4.527
_cell_length_c 5.168
_cell_angle_alpha 90.00
_cell_angle_beta 90.00
_cell_angle_gamma 90.00
_space_group_name_H-M_alt 'P 1'
_space_group_IT_number 1
_space_group_name_Hall 'P 1'
loop_
_atom_site_label
_atom_site_type_symbol
_atom_site_fract_x
_atom_site_fract_y
_atom_site_fract_z
S1 S 0.500 0.000 0.000
S2 S 0.000 0.500 0.000
Cu1 Cu 0.500 0.500 0.500
Re1 Re 0.000 0.000 0.000
Cl1 Cl 0.000 0.000 0.500

---

<x>
# CuReS2Cl | Alexandria | PBE-GGA | optimized geometry
# volume = 19.0 Å³ per atom
# crystal system = tetragonal
# space-group type = P4/mmm, No. 123
data_CuReS2Cl
_cell_length_a 4.651
_cell_length_b 4.651
_cell_length_c 4.386
_cell_angle_alpha 90.00
_cell_angle_beta 90.00
_cell_angle_gamma 90.00
_space_group_name_H-M_alt 'P 1'
_space_group_IT_number 1
_space_group_name_Hall 'P 1'
loop_
_atom_site_label
_atom_site_type_symbol
_atom_site_fract_x
_atom_site_fract_y
_atom_site_fract_z
Re1 Re 0.500 0.500 0.500
S1 S 0.500 0.000 0.000
S2 S 0.000 0.500 0.000
Cl1 Cl 0.000 0.000 0.500
Cu1 Cu 0.000 0.000 0.000

---

From most stable to least stable, the computed energies give <w>, <x>.

---

<w>
# Cu2RhCl | Alexandria | PBE-GGA | optimized geometry
# volume = 14.8 Å³ per atom
# crystal system = orthorhombic
# space-group type = Cmmm, No. 65
data_Cu2RhCl
_cell_length_a 2.912
_cell_length_b 2.912
_cell_length_c 7.917
_cell_angle_alpha 90.00
_cell_angle_beta 90.00
_cell_angle_gamma 118.40
_space_group_name_H-M_alt 'P 1'
_space_group_IT_number 1
_space_group_name_Hall 'P 1'
loop_
_atom_site_label
_atom_site_type_symbol
_atom_site_fract_x
_atom_site_fract_y
_atom_site_fract_z
Rh1 Rh 0.500 0.500 0.250
Cu1 Cu 0.000 0.000 0.508
Cu2 Cu 0.000 0.000 0.992
Cl1 Cl 0.500 0.500 0.750

---

<x>
# Cu2RhCl | Alexandria | PBE-GGA | optimized geometry
# volume = 14.6 Å³ per atom
# crystal system = orthorhombic
# space-group type = Cmm2, No. 35
data_Cu2RhCl
_cell_length_a 2.885
_cell_length_b 2.885
_cell_length_c 8.150
_cell_angle_alpha 90.00
_cell_angle_beta 90.00
_cell_angle_gamma 120.66
_space_group_name_H-M_alt 'P 1'
_space_group_IT_number 1
_space_group_name_Hall 'P 1'
loop_
_atom_site_label
_atom_site_type_symbol
_atom_site_fract_x
_atom_site_fract_y
_atom_site_fract_z
Cl1 Cl 0.500 0.500 0.757
Cu1 Cu 0.000 0.000 0.001
Cu2 Cu 0.500 0.500 0.243
Rh1 Rh 0.000 0.000 0.499

---

<y>
# Cu2RhCl | Alexandria | PBE-GGA | optimized geometry
# volume = 14.7 Å³ per atom
# crystal system = cubic
# space-group type = Fm-3m, No. 225
data_Cu2RhCl
_cell_length_a 4.361
_cell_length_b 4.361
_cell_length_c 4.361
_cell_angle_alpha 60.00
_cell_angle_beta 60.00
_cell_angle_gamma 60.00
_space_group_name_H-M_alt 'P 1'
_space_group_IT_number 1
_space_group_name_Hall 'P 1'
loop_
_atom_site_label
_atom_site_type_symbol
_atom_site_fract_x
_atom_site_fract_y
_atom_site_fract_z
Rh1 Rh 0.500 0.500 0.500
Cu1 Cu 0.750 0.750 0.750
Cu2 Cu 0.250 0.250 0.250
Cl1 Cl 0.000 0.000 0.000

---

<z>
# Cu2RhCl | Alexandria | PBE-GGA | optimized geometry
# volume = 14.4 Å³ per atom
# crystal system = cubic
# space-group type = F-43m, No. 216
data_Cu2RhCl
_cell_length_a 4.339
_cell_length_b 4.339
_cell_length_c 4.339
_cell_angle_alpha 60.00
_cell_angle_beta 60.00
_cell_angle_gamma 60.00
_space_group_name_H-M_alt 'P 1'
_space_group_IT_number 1
_space_group_name_Hall 'P 1'
loop_
_atom_site_label
_atom_site_type_symbol
_atom_site_fract_x
_atom_site_fract_y
_atom_site_fract_z
Cu1 Cu 0.000 0.000 0.000
Cu2 Cu 0.250 0.250 0.250
Rh1 Rh 0.750 0.750 0.750
Cl1 Cl 0.500 0.500 0.500

---

From most stable to least stable, the computed energies give <w>, <x>, <z>, <y>.